Record 1
{"formula": "YCrAg2", "functional": "GGA-PBE", "state": "optimized geometry", "formation_enthalpy_0k_ev_per_atom": 0.11, "de_polymorph_ev_per_fu": 0.13, "space_group": "No. 119", "cell": [[5.294, 0.003, 0.000], [1.778, 4.987, 0.000], [-3.536, -2.495, 3.050]], "species": ["Ag", "Ag", "Cr", "Y"], "frac_coords": [[0.000, 0.000, 0.000], [0.250, 0.750, 0.500], [0.500, 0.500, 0.000], [0.750, 0.250, 0.500]]}

Record 2
{"formula": "KTb2Gd", "functional": "GGA-PBE", "state": "optimized geometry", "formation_enthalpy_0k_ev_per_atom": 0.24, "space_group": "No. 166", "cell": [[-0.956, -0.129, 3.456], [0.931, -2.819, 2.015], [11.274, 5.138, 5.172]], "species": ["K", "Gd", "Tb", "Tb"], "frac_coords": [[0.000, 0.000, 0.000], [0.500, 0.500, 0.500], [0.095, 0.095, 0.714], [0.905, 0.905, 0.286]]}

Record 3
{"formula": "Cr3Pb", "functional": "GGA-PBE", "state": "optimized geometry", "formation_enthalpy_0k_ev_per_atom": 0.59, "space_group": "No. 59", "cell": [[-3.474, -2.254, -1.546], [2.823, -4.234, -0.169], [-1.497, -1.202, 5.118]], "species": ["Cr", "Cr", "Cr", "Cr", "Cr", "Cr", "Pb", "Pb"], "frac_coords": [[0.500, 0.238, 0.000], [0.000, 0.762, 0.500], [0.000, 0.125, 0.285], [0.000, 0.125, 0.715], [0.500, 0.875, 0.785], [0.500, 0.875, 0.215], [0.000, 0.604, 0.000], [0.500, 0.396, 0.500]]}

Record 4
{"formula": "Ca2Os", "functional": "GGA-PBE", "state": "optimized geometry", "formation_enthalpy_0k_ev_per_atom": 0.54, "space_group": "No. 164", "cell": [[5.000, 0.000, 0.000], [-2.500, 4.330, 0.000], [0.000, 0.000, 3.097]], "species": ["Ca", "Ca", "Os"], "frac_coords": [[0.000, 0.000, 0.037], [0.333, 0.667, 0.630], [0.667, 0.333, 0.333]]}

Record 5
{"formula": "Sc3GaAg3S8", "functional": "GGA-PBE", "state": "optimized geometry", "formation_energy_uncorrected_ev_per_atom": -0.9818, "space_group": "No. 12", "cell": [[-5.523, 3.511, -3.616], [1.643, -7.097, -1.670], [-3.329, 1.636, 6.673]], "species": ["Sc", "Sc", "Sc", "Ga", "Ag", "Ag", "Ag", "S", "S", "S", "S", "S", "S", "S", "S"], "frac_coords": [[0.500, 0.000, 0.500], [0.500, 0.500, 0.500], [0.000, 0.500, 0.500], [0.000, 0.000, 0.500], [0.000, 0.000, 0.000], [0.000, 0.500, 0.000], [0.500, 0.500, 0.000], [0.259, 0.519, 0.281], [0.741, 0.481, 0.719], [0.765, 0.531, 0.276], [0.235, 0.469, 0.724], [0.765, 0.008, 0.275], [0.235, 0.992, 0.725], [0.243, 0.008, 0.275], [0.757, 0.992, 0.725]]}

Record 6
{"formula": "TlBrO2", "functional": "GGA-PBE", "state": "optimized geometry", "de_polymorph_ev_per_fu": 1.53, "formation_energy_uncorrected_ev_per_atom": 0.0382, "space_group": "No. 63", "cell": [[2.389, -9.058, 0.000], [2.389, 9.058, 0.000], [0.000, 0.000, 4.237]], "species": ["Tl", "Tl", "O", "O", "O", "O", "Br", "Br"], "frac_coords": [[0.081, 0.919, 0.250], [0.919, 0.081, 0.750], [0.214, 0.786, 0.250], [0.786, 0.214, 0.750], [0.947, 0.053, 0.250], [0.053, 0.947, 0.750], [0.311, 0.689, 0.250], [0.689, 0.311, 0.750]]}

Copy entry 4 word for word.
{"formula": "Ca2Os", "functional": "GGA-PBE", "state": "optimized geometry", "formation_enthalpy_0k_ev_per_atom": 0.54, "space_group": "No. 164", "cell": [[5.000, 0.000, 0.000], [-2.500, 4.330, 0.000], [0.000, 0.000, 3.097]], "species": ["Ca", "Ca", "Os"], "frac_coords": [[0.000, 0.000, 0.037], [0.333, 0.667, 0.630], [0.667, 0.333, 0.333]]}